Density functional theory data (PBE) for a relaxed Tl2InHgIr crystal.

Fermi-level density of states = 1.7 states/eV per cell
total moment = 0.0 μB/cell
symmetry = P4/mmm (123)
final energy = -3.32 eV per atom

abc: 5.329 5.329 5.227
angles: 90.00 90.00 90.00
Atoms (fractional coordinates):
1 Tl 0.000 0.500 0.000
2 Tl 0.500 0.000 0.000
3 Ir 0.000 0.000 0.000
4 Hg 0.500 0.500 0.500
5 In 0.000 0.000 0.500